Compound: Na15Hg4Pb
Source: Alexandria via LeMat-Bulk
Functional: PBE
Structure: relaxed

The structure belongs to space group P4/mmm (No. 123); the cell edges are 4.920, 4.920 and 24.182 Å and the angles 90.00°, 90.00° and 90.00°. The asymmetric unit holds Na at (0.000, 0.000, 0.000), Na at (0.000, 0.000, 0.201), Na at (0.000, 0.000, 0.400), Na at (0.000, 0.500, 0.101), Na at (0.000, 0.500, 0.301), Na at (0.000, 0.500, 0.500), Hg at (0.500, 0.500, 0.201), Hg at (0.500, 0.500, 0.400) and Pb at (0.500, 0.500, 0.000).

The calculation puts the density of states at the Fermi level at 0.41 states/eV per atom. For the calculated volume, the calculation gives 29.263 A^3/atom. The value obtained for the energy relative to the elements is -0.13 eV per atom.

---

Compound: Ag4PdAu4
Source: Alexandria via LeMat-Bulk
Functional: PBE
Structure: relaxed

The structure belongs to space group I4/mmm (No. 139); the cell edges are 8.764, 8.764 and 4.121 Å and the angles 90.00°, 90.00° and 90.00°. The asymmetric unit holds Ag at (0.000, 0.332, 0.000), Pd at (0.000, 0.000, 0.000) and Au at (0.165, 0.165, 0.500).

The calculation puts the density of states at the Fermi level at 0.23 states/eV per atom. For the calculated volume, the calculation gives 17.582 A^3/atom. The value obtained for the energy relative to the elements is -0.06 eV per atom.

---

Compound: Ca3Al3Au
Source: Alexandria via LeMat-Bulk
Functional: PBE
Structure: relaxed

The structure belongs to space group C2/m (No. 12); the cell edges are 11.159, 4.512 and 15.103 Å and the angles 90.00°, 110.00° and 90.00°. The asymmetric unit holds Ca at (0.024, 0.000, 0.382), Ca at (0.108, 0.000, 0.922), Ca at (0.249, 0.000, 0.232), Al at (0.045, 0.500, 0.236), Al at (0.101, 0.500, 0.078), Al at (0.146, 0.500, 0.537) and Au at (0.243, 0.500, 0.393).

The calculation puts the density of states at the Fermi level at 0.79 states/eV per atom. For the calculated volume, the calculation gives 25.521 A^3/atom. The value obtained for the energy relative to the elements is -0.40 eV per atom.

---

Compound: Si2Ni4Pt
Source: Alexandria via LeMat-Bulk
Functional: PBE
Structure: relaxed

The structure belongs to space group I4/mmm (No. 139); the cell edges are 4.558, 4.558 and 11.535 Å and the angles 90.00°, 90.00° and 90.00°. The asymmetric unit holds Si at (0.000, 0.000, 0.100), Ni at (0.000, 0.000, 0.285), Ni at (0.000, 0.500, 0.000) and Pt at (0.000, 0.000, 0.500).

For the raw formation energy, the calculation gives 0.668 eV/atom. The calculation puts the density of states at the Fermi level at 1.44 states/eV per atom. For the calculated volume, the calculation gives 17.119 A^3/atom.

---

Compound: TaMnP2
Source: Alexandria via LeMat-Bulk
Functional: PBE
Structure: relaxed

The structure belongs to space group Pm (No. 6); the cell edges are 3.257, 4.258 and 4.684 Å and the angles 90.00°, 110.20° and 90.00°. The asymmetric unit holds Ta at (0.000, 0.000, 0.000), Mn at (0.766, 0.500, 0.527), P at (0.446, 0.500, 0.889) and P at (0.706, 0.000, 0.415).

The calculation puts the density of states at the Fermi level at 0.38 states/eV per atom. For the calculated volume, the calculation gives 15.241 A^3/atom. The value obtained for the energy relative to the elements is -0.36 eV per atom.

---

Compound: La2Si3Pd2
Source: Alexandria via LeMat-Bulk
Functional: PBE
Structure: relaxed

The structure belongs to space group Cmcm (No. 63); the cell edges are 4.380, 18.397 and 7.023 Å and the angles 90.00°, 90.00° and 90.00°. The asymmetric unit holds La at (0.000, 0.055, 0.250), La at (0.000, 0.156, 0.750), Si at (0.000, 0.224, 0.250), Si at (0.000, 0.441, 0.074) and Pd at (0.000, 0.306, 0.548).

For the raw formation energy, the calculation gives -0.863 eV/atom. The calculation puts the density of states at the Fermi level at 0.46 states/eV per atom. For the calculated volume, the calculation gives 20.211 A^3/atom.